Compound: Sr2Cu2BiO6
Source: the Alexandria database
Functional: GGA-PBE
Structure: relaxed

Lattice parameters (Å, degrees): 6.0252 6.0252 16.5168 90.00 90.00 120.00
Closest atoms and distances in Å follow each position.
Space group R-3m (No. 166, hexagonal axes)
Symmetry-distinct sites (fractional):
Sr: 0.0000 0.0000 0.2107 (multiplicity 6)  3 O 2.58
Cu: 0.0000 0.0000 0.4189 (multiplicity 6)  3 O 1.86
Bi: 0.0000 0.0000 0.0000 (multiplicity 3)  6 O 2.19
O: 0.0236 0.5118 0.7557 (multiplicity 18)  1 Cu 1.86

Values from the calculation:
Magnetic moment, μB/atom: 0.109
E_tot, eV per atom: -5.52